This record from the Alexandria database describes a relaxed structure of B3C2. The functional is PBE.

```
data_B3C2
_cell_length_a 11.481
_cell_length_b 11.481
_cell_length_c 11.481
_cell_angle_alpha 168.04
_cell_angle_beta 167.52
_cell_angle_gamma 17.32
_space_group_name_H-M_alt 'P 1'
_space_group_IT_number 1
_space_group_name_Hall 'P 1'
loop_
_atom_site_label
_atom_site_fract_x
_atom_site_fract_y
_atom_site_fract_z
B1 0.278 0.028 0.250
B2 0.337 0.587 0.750
B3 0.470 0.220 0.250
B4 0.530 0.780 0.750
B5 0.663 0.413 0.250
B6 0.722 0.972 0.750
C1 0.077 0.827 0.250
C2 0.115 0.365 0.750
C3 0.885 0.635 0.250
C4 0.923 0.173 0.750
```

Output
SG = Imma (74)
Energy above the most stable polymorph in this dataset = 143 meV per atom
VASP energy = -7.343 eV per atom
Fermi-level density of states = 1.72 states/eV/cell
ΔE_f = 0.35 eV/atom

***

This record from the Alexandria database describes a relaxed structure of B11C. The functional is PBE.

```
data_B11C
_cell_length_a 4.893
_cell_length_b 2.809
_cell_length_c 6.260
_cell_angle_alpha 90.00
_cell_angle_beta 98.42
_cell_angle_gamma 90.00
_space_group_name_H-M_alt 'P 1'
_space_group_IT_number 1
_space_group_name_Hall 'P 1'
loop_
_atom_site_label
_atom_site_fract_x
_atom_site_fract_y
_atom_site_fract_z
B1 0.000 0.000 0.000
B2 0.016 0.500 0.422
B3 0.234 0.000 0.808
B4 0.291 0.500 0.640
B5 0.368 0.500 0.374
B6 0.475 0.000 0.049
B7 0.656 0.500 0.636
B8 0.740 0.500 0.926
B9 0.781 0.000 0.458
B10 0.834 0.000 0.746
B11 0.982 0.500 0.153
C1 0.490 0.000 0.296
```

Output
SG = Pm (6)
Energy above the most stable polymorph in this dataset = 158 meV per atom
VASP energy = -6.458 eV per atom
Fermi-level density of states = 1.26 states/eV/cell
ΔE_f = 0.43 eV/atom